[1]
Density functional theory data (GGA-PBE) for a relaxed Sr3Zn5O12 crystal.

Geometry as POSCAR:
```
Sr3Zn5O12
1.0
-6.501 6.501 6.501
6.501 -6.501 6.501
6.501 6.501 -6.501
Sr Zn O
12 20 48
Direct
0.125 0.250 0.375
0.125 0.375 0.750
0.250 0.375 0.125
0.250 0.875 0.625
0.375 0.125 0.250
0.375 0.750 0.125
0.625 0.250 0.875
0.625 0.875 0.750
0.750 0.125 0.375
0.750 0.625 0.875
0.875 0.625 0.250
0.875 0.750 0.625
0.000 0.000 0.000
0.000 0.000 0.500
0.000 0.500 0.000
0.000 0.500 0.500
0.125 0.750 0.875
0.125 0.875 0.250
0.250 0.125 0.875
0.250 0.625 0.375
0.375 0.250 0.625
0.375 0.625 0.750
0.500 0.000 0.000
0.500 0.000 0.500
0.500 0.500 0.000
0.500 0.500 0.500
0.625 0.375 0.250
0.625 0.750 0.375
0.750 0.375 0.625
0.750 0.875 0.125
0.875 0.125 0.750
0.875 0.250 0.125
0.020 0.198 0.114
0.020 0.322 0.906
0.084 0.698 0.678
0.084 0.886 0.406
0.094 0.614 0.416
0.094 0.980 0.678
0.114 0.020 0.198
0.114 0.594 0.916
0.178 0.198 0.584
0.178 0.480 0.594
0.198 0.114 0.020
0.198 0.584 0.178
0.302 0.322 0.916
0.302 0.480 0.386
0.322 0.906 0.020
0.322 0.916 0.302
0.386 0.302 0.480
0.386 0.584 0.906
0.406 0.084 0.886
0.406 0.822 0.520
0.416 0.094 0.614
0.416 0.822 0.802
0.480 0.386 0.302
0.480 0.594 0.178
0.520 0.406 0.822
0.520 0.614 0.698
0.584 0.178 0.198
0.584 0.906 0.386
0.594 0.178 0.480
0.594 0.916 0.114
0.614 0.416 0.094
0.614 0.698 0.520
0.678 0.084 0.698
0.678 0.094 0.980
0.698 0.520 0.614
0.698 0.678 0.084
0.802 0.416 0.822
0.802 0.886 0.980
0.822 0.520 0.406
0.822 0.802 0.416
0.886 0.406 0.084
0.886 0.980 0.802
0.906 0.020 0.322
0.906 0.386 0.584
0.916 0.114 0.594
0.916 0.302 0.322
0.980 0.678 0.094
0.980 0.802 0.886
```

Computed properties:
Calculated volume ... 13.74 A^3/atom
Crystal system ... cubic
Total energy ... -4.779 eV/atom
E_form (uncorrected) ... -24.7 eV per formula unit

=====

[2]
Density functional theory data (GGA-PBE) for a relaxed Rb3HfHg crystal.

Geometry as POSCAR:
```
Rb3HfHg
1.0
6.741 0.000 0.000
0.000 6.741 0.000
0.000 0.000 6.741
Rb Hf Hg
3 1 1
Direct
0.000 0.000 0.500
0.000 0.500 0.000
0.500 0.000 0.000
0.500 0.500 0.500
0.000 0.000 0.000
```

Computed properties:
Calculated volume ... 61.26 A^3/atom
Crystal system ... cubic
E_form ... 23.51 kcal/mol of atoms
Total energy ... -1.612 eV/atom

=====

[3]
Density functional theory data (GGA-PBE) for a relaxed Be2SbTe crystal.

Geometry as POSCAR:
```
Be2SbTe
1.0
4.832 0.000 0.000
0.000 4.994 0.000
0.000 0.000 6.514
Be Sb Te
4 2 2
Direct
0.000 0.000 0.000
0.000 0.500 0.500
0.500 0.000 0.202
0.500 0.500 0.702
0.000 0.000 0.379
0.000 0.500 0.879
0.500 0.000 0.823
0.500 0.500 0.323
```

Computed properties:
Calculated volume ... 19.65 A^3/atom
Crystal system ... orthorhombic
Total energy ... -3.474 eV/atom
E_form (uncorrected) ... 0.8 eV per formula unit

=====

[4]
Density functional theory data (GGA-PBE) for a relaxed Ca2Al2CdRh5 crystal.

Geometry as POSCAR:
```
Ca2Al2CdRh5
1.0
10.285 0.000 0.000
0.000 10.285 0.000
0.000 0.000 3.309
Ca Al Cd Rh
4 4 2 10
Direct
0.175 0.325 0.000
0.325 0.825 0.000
0.675 0.175 0.000
0.825 0.675 0.000
0.125 0.625 0.000
0.375 0.125 0.000
0.625 0.875 0.000
0.875 0.375 0.000
0.000 0.000 0.000
0.500 0.500 0.000
0.000 0.500 0.500
0.066 0.790 0.500
0.210 0.066 0.500
0.290 0.566 0.500
0.434 0.290 0.500
0.500 0.000 0.500
0.566 0.710 0.500
0.710 0.434 0.500
0.790 0.934 0.500
0.934 0.210 0.500
```

Computed properties:
Calculated volume ... 17.50 A^3/atom
Crystal system ... tetragonal
E_form ... -12.90 kcal/mol of atoms
Total energy ... -5.476 eV/atom

=====

[5]
Density functional theory data (GGA-PBE) for a relaxed BeC2S crystal.

Geometry as POSCAR:
```
BeC2S
1.0
5.208 0.000 0.000
0.000 5.208 0.000
0.000 0.000 5.208
Be C S
4 8 4
Direct
0.000 0.000 0.000
0.000 0.500 0.500
0.500 0.000 0.500
0.500 0.500 0.000
0.250 0.250 0.250
0.250 0.250 0.750
0.250 0.750 0.250
0.250 0.750 0.750
0.750 0.250 0.250
0.750 0.250 0.750
0.750 0.750 0.250
0.750 0.750 0.750
0.000 0.000 0.500
0.000 0.500 0.000
0.500 0.000 0.000
0.500 0.500 0.500
```

Computed properties:
Calculated volume ... 8.83 A^3/atom
Crystal system ... cubic
Total energy ... -4.116 eV/atom
E_form (uncorrected) ... 9.8 eV per formula unit

=====

[6]
Density functional theory data (GGA-PBE) for a relaxed Ce2ErHg4 crystal.

Geometry as POSCAR:
```
Ce2ErHg4
1.0
5.893 0.000 0.000
0.000 18.964 0.000
0.000 0.000 3.384
Ce Er Hg
4 2 8
Direct
0.000 0.070 0.000
0.000 0.930 0.000
0.500 0.430 0.000
0.500 0.570 0.000
0.000 0.500 0.500
0.500 0.000 0.500
0.000 0.216 0.500
0.000 0.356 0.000
0.000 0.644 0.000
0.000 0.784 0.500
0.500 0.144 0.000
0.500 0.284 0.500
0.500 0.716 0.500
0.500 0.856 0.000
```

Computed properties:
Calculated volume ... 27.01 A^3/atom
Crystal system ... orthorhombic
E_form ... -2.23 kcal/mol of atoms
Total energy ... -2.617 eV/atom

=====

[7]
Density functional theory data (GGA-PBE) for a relaxed PdRuPb2 crystal.

Geometry as POSCAR:
```
PdRuPb2
1.0
6.818 0.000 0.000
0.000 6.818 0.000
0.000 0.000 6.818
Pd Ru Pb
4 4 8
Direct
0.000 0.000 0.000
0.000 0.500 0.500
0.500 0.000 0.500
0.500 0.500 0.000
0.000 0.000 0.500
0.000 0.500 0.000
0.500 0.000 0.000
0.500 0.500 0.500
0.250 0.250 0.250
0.250 0.250 0.750
0.250 0.750 0.250
0.250 0.750 0.750
0.750 0.250 0.250
0.750 0.250 0.750
0.750 0.750 0.250
0.750 0.750 0.750
```

Computed properties:
Calculated volume ... 19.81 A^3/atom
Crystal system ... cubic
E_form ... 6.26 kcal/mol of atoms
Total energy ... -5.200 eV/atom

=====

[8]
Density functional theory data (GGA-PBE) for a relaxed CsKTlCl4 crystal.

Geometry as POSCAR:
```
CsKTlCl4
1.0
3.869 -8.526 0.000
3.869 8.526 0.000
0.000 0.000 7.787
Cs K Tl Cl
2 2 2 8
Direct
0.106 0.894 0.750
0.894 0.106 0.250
0.391 0.609 0.750
0.609 0.391 0.250
0.255 0.745 0.250
0.745 0.255 0.750
0.000 0.500 0.000
0.000 0.500 0.500
0.089 0.911 0.250
0.425 0.575 0.250
0.500 0.000 0.000
0.500 0.000 0.500
0.575 0.425 0.750
0.911 0.089 0.750
```

Computed properties:
Calculated volume ... 36.69 A^3/atom
Crystal system ... orthorhombic
Total energy ... -3.108 eV/atom
E_form (uncorrected) ... -10.1 eV per formula unit

=====

Which of these has the highest total energy?
Rb3HfHg